# La2MnBr

A relaxed La2MnBr crystal (PBE-GGA, Alexandria via LeMat-Bulk).

- D(E_F) (states/eV/cell) = 3.19
- E_tot (eV per formula unit) = -21.2
- E_form (uncorrected) (eV/atom) = -0.137
- energy above the lowest structure with this stoichiometry (meV/atom) = 297
- crystal system = tetragonal

The structure in POSCAR format:
```
La2MnBr
1.0
3.516 0.828 0.000
-0.828 3.516 0.000
0.000 0.000 9.624
Br La Mn
1 2 1
Direct
0.500 0.500 0.760
0.000 0.000 0.957
0.500 0.500 0.291
0.000 0.000 0.491
```